Record 1
A relaxed PuSc2Ag crystal, computed with PBE-GGA.

Properties
Formation energy ... 239.0 meV/atom
ΔE to the lowest computed polymorph ... 288.0 meV/atom
Calculated volume ... 93.8 Å³ per cell
Total moment ... 1.350 μB/atom

abc: 3.1506 3.1506 11.0629
angles: 81.81 81.81 60.00
Each line ends with the local moment (μB).
Sites, in units of the cell vectors:
Sc 0.9057 0.9057 0.2828  0.10
Pu 0.0000 0.0000 0.0000  -5.51
Sc 0.0943 0.0943 0.7172  0.10
Ag 0.5000 0.5000 0.5000  0.00

---

Record 2
A relaxed Ac2ZnBr crystal, computed with PBE-GGA.

Properties
ΔE to the lowest computed polymorph ... 18.9 meV/atom
Uncorrected formation energy ... -0.68 eV/atom
Calculated volume ... 135.3 Å³ per cell
Total moment ... 0.000 μB/atom

abc: 4.0565 4.0565 9.7756
angles: 78.03 78.03 60.01
Sites, in units of the cell vectors:
Ac 0.0782 0.0782 0.7654
Ac 0.2551 0.2551 0.2347
Br 0.5001 0.5001 0.4998
Zn 0.6666 0.6666 0.0000

---

Record 3
A relaxed TeF3 crystal, computed with PBE-GGA.

Properties
ΔE to the lowest computed polymorph ... 0.0 meV/atom
Uncorrected formation energy ... -1.64 eV/atom
Calculated volume ... 64.7 Å³ per cell
Total moment ... 0.000 μB/atom

abc: 3.0996 5.0563 5.0829
angles: 119.83 107.75 90.00
Sites, in units of the cell vectors:
Te 0.0000 0.1452 0.0000
F 0.2216 0.4984 0.4433
F 0.5000 0.4678 0.0000
F 0.7784 0.0552 0.5567

---

Record 4
A relaxed Ba5NaSr2Cd2 crystal, computed with PBE-GGA.

Properties
Formation energy ... -107.0 meV/atom
Calculated volume ... 1029.9 Å³ per cell
Total moment ... 0.000 μB/atom

abc: 4.7940 14.6571 14.6571
angles: 90.00 90.00 90.00
Sites, in units of the cell vectors:
Ba 0.5000 0.0652 0.7901
Ba 0.5000 0.9348 0.2099
Na 0.0000 0.5000 0.5000
Ba 0.5000 0.4348 0.2901
Cd 0.0000 0.6283 0.8717
Ba 0.5000 0.7901 0.9348
Sr 0.0000 0.6780 0.1780
Ba 0.5000 0.5000 0.0000
Ba 0.5000 0.7099 0.4348
Cd 0.0000 0.8717 0.3717
Ba 0.5000 0.5652 0.7099
Sr 0.0000 0.3220 0.8220
Ba 0.5000 0.2099 0.0652
Na 0.0000 0.0000 0.0000
Sr 0.0000 0.8220 0.6780
Sr 0.0000 0.1780 0.3220
Cd 0.0000 0.1283 0.6283
Cd 0.0000 0.3717 0.1283
Ba 0.5000 0.0000 0.5000
Ba 0.5000 0.2901 0.5652

---

Record 5
A relaxed Se2IF crystal, computed with PBE-GGA.

Properties
ΔE to the lowest computed polymorph ... 368.5 meV/atom
Uncorrected formation energy ... 0.08 eV/atom
Calculated volume ... 108.6 Å³ per cell
Total moment ... 0.000 μB/atom

abc: 8.4692 8.4692 8.4692
angles: 26.76 26.76 26.76
Sites, in units of the cell vectors:
F 0.0000 0.0000 0.0000
I 0.5000 0.5000 0.5000
Se 0.0883 0.0883 0.0883
Se 0.9117 0.9117 0.9117

---

Record 6
A relaxed ZnTc2Au crystal, computed with PBE-GGA.

Properties
Formation energy ... 266.1 meV/atom
Calculated volume ... 61.1 Å³ per cell
Total moment ... 0.000 μB/atom

abc: 5.2186 5.2186 5.2186
angles: 142.65 134.24 60.49
Sites, in units of the cell vectors:
Zn 0.7500 0.2500 0.5000
Au 0.2500 0.7500 0.5000
Tc 0.5063 0.5063 0.0000
Tc 0.9937 0.9937 0.0000

---

Record 7
A relaxed Hf5Zr4 crystal, computed with PBE-GGA.

Properties
Formation energy ... 14.7 meV/atom
ΔE to the lowest computed polymorph ... 0.0 meV/atom
Calculated volume ... 406.2 Å³ per cell
Total moment ... 0.000 μB/atom

abc: 6.2350 8.6739 8.6739
angles: 120.00 90.00 90.00
Sites, in units of the cell vectors:
Hf 0.2500 0.6653 0.0000
Hf 0.7500 0.6653 0.6653
Hf 0.0000 0.6667 0.3333
Hf 0.2500 0.3347 0.3347
Zr 0.2500 0.0000 0.3342
Hf 0.2500 0.0000 0.6653
Zr 0.2500 0.6658 0.6658
Zr 0.7500 0.0000 0.6658
Hf 0.0000 0.3333 0.6667
Hf 0.5000 0.6667 0.3333
Zr 0.2500 0.3342 0.0000
Hf 0.5000 0.3333 0.6667
Hf 0.7500 0.3347 0.0000
Zr 0.5000 0.0000 0.0000
Hf 0.7500 0.0000 0.3347
Zr 0.7500 0.3342 0.3342
Zr 0.0000 0.0000 0.0000
Zr 0.7500 0.6658 0.0000

---

Record 8
A relaxed Zn2BPd2 crystal, computed with PBE-GGA.

Properties
Formation energy ... -161.9 meV/atom
Calculated volume ... 140.3 Å³ per cell
Total moment ... 0.000 μB/atom

abc: 5.6947 5.6947 4.3259
angles: 90.00 90.00 90.00
Sites, in units of the cell vectors:
Zn 0.6572 0.8428 0.5000
Pd 0.8299 0.6701 0.0000
Pd 0.3299 0.8299 0.0000
Pd 0.6701 0.1701 0.0000
Zn 0.8428 0.3428 0.5000
Pd 0.1701 0.3299 0.0000
Zn 0.1572 0.6572 0.5000
Zn 0.3428 0.1572 0.5000
B 0.5000 0.5000 0.0000
B 0.0000 0.0000 0.0000

---

> Among the records above, which one has the highest calculated volume?

Ba5NaSr2Cd2